# PBE KTl2SbBr6, optimized geometry
data_KTl2SbBr6
_chemical_formula_sum 'K1 Tl2 Sb1 Br6'
_cell_length_a 8.1755
_cell_length_b 8.1810
_cell_length_c 8.3932
_cell_angle_alpha 90.02
_cell_angle_beta 119.15
_cell_angle_gamma 119.97
_symmetry_space_group_name_H-M 'P 1'
_symmetry_Int_Tables_number 1
_symmetry_space_group_name_Hall 'P 1'
loop_
_atom_site_label
_atom_site_type_symbol
_atom_site_fract_x
_atom_site_fract_y
_atom_site_fract_z
K1 K 0.0000 0.0000 0.0000
Tl1 Tl 0.5707 0.2856 0.8556
Tl2 Tl 0.5894 0.7951 0.3838
Sb1 Sb 0.9835 0.4918 0.4750
Br1 Br 0.0753 0.3815 0.2245
Br2 Br 0.0839 0.2515 0.6981
Br3 Br 0.4467 0.8325 0.6983
Br4 Br 0.5309 0.1499 0.2244
Br5 Br 0.8430 0.6935 0.2240
Br6 Br 0.8652 0.6145 0.6977
# Uncorrected formation energy, eV per atom: -0.942
# Energy, eV/atom: -2.9410